No. 1
A plane-wave DFT calculation with GGA-PBEsol was carried out for crystalline LiCu2Ni at its relaxed geometry.

Values from the calculation:
As for the distance to the lowest polymorph of the same formula: 12 meV per atom. Its formation energy from the elements is -0.2 kcal/mol of atoms.

a b c (Å): 4.3569 4.3569 4.3299
angles (deg): 98.87 98.87 33.05
Closest atoms and distances in Å follow each position.
Sites, in units of the cell vectors:
Li 0.0000 0.0000 0.0000  7 Cu 2.45-2.55, 2 Li 2.48, 3 Ni 2.49-2.57
Cu 0.2443 0.2443 0.7526  3 Li 2.45-2.55, 4 Ni 2.47-2.52, 5 Cu 2.48-2.56
Cu 0.4982 0.4982 0.4928  3 Ni 2.45-2.51, 4 Li 2.47-2.52, 5 Cu 2.48-2.56
Ni 0.7553 0.7553 0.2620  7 Cu 2.45-2.52, 2 Ni 2.48, 3 Li 2.49-2.57

=====

No. 2
A plane-wave DFT calculation with GGA-PBEsol was carried out for crystalline TaCuSi2 at its relaxed geometry.

Values from the calculation:
For the uncorrected formation energy, the calculation gives -224 meV per atom.

a b c (Å): 4.7478 4.7478 4.7478
angles (deg): 134.03 134.03 67.05
Closest atoms and distances in Å follow each position.
Sites, in units of the cell vectors:
Ta 0.0000 0.0000 0.0000  4 Cu 2.62, 8 Si 2.71
Cu 0.5000 0.5000 0.0000  4 Ta 2.62, 8 Si 2.71
Si 0.2500 0.7500 0.5000  4 Si 2.62, 4 Ta 2.71, 4 Cu 2.71
Si 0.7500 0.2500 0.5000  4 Si 2.62, 4 Ta 2.71, 4 Cu 2.71

=====

No. 3
A plane-wave DFT calculation with GGA-PBEsol was carried out for crystalline LiTc2Hg at its relaxed geometry.

Values from the calculation:
Its formation energy from the elements is 10.2 kcal/mol of atoms.

a b c (Å): 5.1629 5.1629 2.6940
angles (deg): 90.00 90.00 122.79
Closest atoms and distances in Å follow each position.
Sites, in units of the cell vectors:
Li 0.0000 0.0000 0.0000  2 Hg 2.47, 2 Li 2.69
Tc 0.0000 0.5000 0.5000  4 Tc 2.47-2.69
Tc 0.5000 0.0000 0.5000  4 Tc 2.47-2.69
Hg 0.5000 0.5000 0.0000  2 Li 2.47, 2 Hg 2.69

=====

No. 4
A plane-wave DFT calculation with GGA-PBEsol was carried out for crystalline AlCr4Os at its relaxed geometry.

Values from the calculation:
Its formation energy from the elements is 0.2 kcal/mol of atoms.

a b c (Å): 4.6862 4.6862 4.6862
angles (deg): 60.00 60.00 60.00
Closest atoms and distances in Å follow each position.
Sites, in units of the cell vectors:
Al 0.0000 0.0000 0.0000  12 Cr 2.74, 4 Os 2.87
Cr 0.3729 0.3729 0.3729  6 Cr 2.30-2.38
Cr 0.3729 0.3729 0.8812  6 Cr 2.30-2.38
Cr 0.3729 0.8812 0.3729  6 Cr 2.30-2.38
Cr 0.8812 0.3729 0.3729  6 Cr 2.30-2.38
Os 0.7500 0.7500 0.7500  12 Cr 2.75, 4 Al 2.87

=====

No. 5
A plane-wave DFT calculation with GGA-PBEsol was carried out for crystalline PRuW2 at its relaxed geometry.

Values from the calculation:
Its formation energy from the elements is -3.4 kcal/mol of atoms.

a b c (Å): 2.8727 2.8727 6.6947
angles (deg): 90.00 90.00 90.00
Closest atoms and distances in Å follow each position.
Sites, in units of the cell vectors:
P 0.0000 0.0000 0.0000  8 W 2.54
Ru 0.0000 0.0000 0.5000  8 W 2.73, 4 Ru 2.87
W 0.5000 0.5000 0.2283  4 P 2.54, 4 Ru 2.73
W 0.5000 0.5000 0.7717  4 P 2.54, 4 Ru 2.73

=====

No. 6
A plane-wave DFT calculation with GGA-PBEsol was carried out for crystalline HfReSi2 at its relaxed geometry.

Values from the calculation:
For the uncorrected formation energy, the calculation gives -685 meV per atom.

a b c (Å): 9.0808 9.9770 8.0457
angles (deg): 90.00 90.00 90.00
Closest atoms and distances in Å follow each position.
Sites, in units of the cell vectors:
Hf 0.1705 0.1794 0.0000  7 Si 2.76-2.85, 4 Re 3.04-3.08
Hf 0.1744 0.4517 0.2463  8 Si 2.70-2.90, 2 Re 2.98-3.00
Hf 0.1744 0.4517 0.7537  8 Si 2.70-2.90, 2 Re 2.98-3.00
Hf 0.3256 0.9517 0.2463  8 Si 2.70-2.90, 2 Re 2.98-3.00
Hf 0.3256 0.9517 0.7537  8 Si 2.70-2.90, 2 Re 2.98-3.00
Hf 0.3295 0.6794 0.0000  7 Si 2.76-2.85, 4 Re 3.04-3.08
Hf 0.6705 0.3206 0.0000  7 Si 2.76-2.85, 4 Re 3.04-3.08
Hf 0.6744 0.0483 0.2463  8 Si 2.70-2.90, 2 Re 2.98-3.00
Hf 0.6744 0.0483 0.7537  8 Si 2.70-2.90, 2 Re 2.98-3.00
Hf 0.8256 0.5483 0.2463  8 Si 2.70-2.90, 2 Re 2.98-3.00
Hf 0.8256 0.5483 0.7537  8 Si 2.70-2.90, 2 Re 2.98-3.00
Hf 0.8295 0.8206 0.0000  7 Si 2.76-2.85, 4 Re 3.04-3.08
Re 0.0000 0.0000 0.2447  6 Si 2.51-2.54, 2 Re 2.72
Re 0.0000 0.0000 0.7553  6 Si 2.51-2.54, 2 Re 2.72
Re 0.0856 0.7389 0.2487  6 Si 2.40-2.63
Re 0.0856 0.7389 0.7513  6 Si 2.40-2.63
Re 0.4144 0.2389 0.2487  6 Si 2.40-2.63
Re 0.4144 0.2389 0.7513  6 Si 2.40-2.63
Re 0.5000 0.5000 0.2447  6 Si 2.51-2.54, 2 Re 2.72
Re 0.5000 0.5000 0.7553  6 Si 2.51-2.54, 2 Re 2.72
Re 0.5856 0.7611 0.2487  6 Si 2.40-2.63
Re 0.5856 0.7611 0.7513  6 Si 2.40-2.63
Re 0.9144 0.2611 0.2487  6 Si 2.40-2.63
Re 0.9144 0.2611 0.7513  6 Si 2.40-2.63
Si 0.0338 0.6145 0.0000  1 Si 2.37, 2 Re 2.40
Si 0.0353 0.6155 0.5000  1 Si 2.39, 2 Re 2.41
Si 0.1257 0.9032 0.5000  4 Re 2.54-2.63, 2 Hf 2.77
Si 0.1315 0.8986 0.0000  4 Re 2.52-2.59, 2 Hf 2.70
Si 0.1663 0.1808 0.3540  1 Si 2.35, 3 Re 2.48-2.57
Si 0.1663 0.1808 0.6460  1 Si 2.35, 3 Re 2.48-2.57
Si 0.3337 0.6808 0.3540  1 Si 2.35, 3 Re 2.48-2.57
Si 0.3337 0.6808 0.6460  1 Si 2.35, 3 Re 2.48-2.57
Si 0.3685 0.3986 0.0000  4 Re 2.52-2.59, 2 Hf 2.70
Si 0.3743 0.4032 0.5000  4 Re 2.54-2.63, 2 Hf 2.77
Si 0.4647 0.1155 0.5000  1 Si 2.39, 2 Re 2.41
Si 0.4662 0.1145 0.0000  1 Si 2.37, 2 Re 2.40
Si 0.5338 0.8855 0.0000  1 Si 2.37, 2 Re 2.40
Si 0.5353 0.8845 0.5000  1 Si 2.39, 2 Re 2.41
Si 0.6257 0.5968 0.5000  4 Re 2.54-2.63, 2 Hf 2.77
Si 0.6315 0.6014 0.0000  4 Re 2.52-2.59, 2 Hf 2.70
Si 0.6663 0.3192 0.3540  1 Si 2.35, 3 Re 2.48-2.57
Si 0.6663 0.3192 0.6460  1 Si 2.35, 3 Re 2.48-2.57
Si 0.8337 0.8192 0.3540  1 Si 2.35, 3 Re 2.48-2.57
Si 0.8337 0.8192 0.6460  1 Si 2.35, 3 Re 2.48-2.57
Si 0.8685 0.1014 0.0000  4 Re 2.52-2.59, 2 Hf 2.70
Si 0.8743 0.0968 0.5000  4 Re 2.54-2.63, 2 Hf 2.77
Si 0.9647 0.3845 0.5000  1 Si 2.39, 2 Re 2.41
Si 0.9662 0.3855 0.0000  1 Si 2.37, 2 Re 2.40

=====

No. 7
A plane-wave DFT calculation with GGA-PBEsol was carried out for crystalline Mo2AsW at its relaxed geometry.

Values from the calculation:
Its formation energy from the elements is 4.0 kcal/mol of atoms.

a b c (Å): 4.3908 4.3908 3.1363
angles (deg): 90.00 90.00 90.00
Closest atoms and distances in Å follow each position.
Sites, in units of the cell vectors:
Mo 0.0000 0.5000 0.0000  4 As 2.70, 4 W 2.70
Mo 0.5000 0.0000 0.0000  4 As 2.70, 4 W 2.70
As 0.0000 0.0000 0.5000  8 Mo 2.70
W 0.5000 0.5000 0.5000  8 Mo 2.70

=====

No. 8
A plane-wave DFT calculation with GGA-PBEsol was carried out for crystalline KTa2Br at its relaxed geometry.

Values from the calculation:
As for the distance to the lowest polymorph of the same formula: 0 meV per atom. For the uncorrected formation energy, the calculation gives 1120 meV per atom.

a b c (Å): 2.9909 2.9909 9.8628
angles (deg): 90.00 90.00 90.00
Closest atoms and distances in Å follow each position.
Sites, in units of the cell vectors:
K 0.0000 0.0000 0.0000  4 K 2.99
Ta 0.5000 0.5000 0.3187  4 Br 2.77, 4 Ta 2.99
Ta 0.5000 0.5000 0.6813  4 Br 2.77, 4 Ta 2.99
Br 0.0000 0.0000 0.5000  8 Ta 2.77, 4 Br 2.99

=====

No. 9
A plane-wave DFT calculation with GGA-PBEsol was carried out for crystalline Ce3Al at its relaxed geometry.

Values from the calculation:
As for the distance to the lowest polymorph of the same formula: 0 meV per atom. Its formation energy from the elements is -2.9 kcal/mol of atoms.

a b c (Å): 6.4849 5.0409 11.7290
angles (deg): 90.00 90.21 90.00
Closest atoms and distances in Å follow each position.
Sites, in units of the cell vectors:
Ce 0.0012 0.2500 0.2060  2 Ce 2.76-2.77, 2 Al 3.01
Ce 0.2450 0.7500 0.6018  1 Ce 2.77, 2 Al 3.04
Ce 0.2514 0.2500 0.3965  3 Ce 2.76-3.08, 2 Al 3.06
Ce 0.2789 0.2500 0.9324  3 Ce 2.86-2.98, 3 Al 3.13
Ce 0.2794 0.7500 0.0672  3 Ce 2.86-2.98, 3 Al 3.12-3.14
Ce 0.4950 0.7500 0.3285  6 Ce 3.08-3.40, 4 Al 3.14-3.27
Ce 0.5050 0.2500 0.6715  6 Ce 3.08-3.40, 4 Al 3.14-3.27
Ce 0.7206 0.2500 0.9328  3 Ce 2.86-2.98, 3 Al 3.12-3.14
Ce 0.7211 0.7500 0.0676  3 Ce 2.86-2.98, 3 Al 3.13
Ce 0.7486 0.7500 0.6035  3 Ce 2.76-3.08, 2 Al 3.06
Ce 0.7550 0.2500 0.3982  1 Ce 2.77, 2 Al 3.04
Ce 0.9988 0.7500 0.7940  2 Ce 2.76-2.77, 2 Al 3.01
Al 0.0011 0.2500 0.6530  8 Ce 3.01-3.27
Al 0.4985 0.7500 0.8307  12 Ce 3.12-3.27
Al 0.5015 0.2500 0.1693  12 Ce 3.12-3.27
Al 0.9989 0.7500 0.3470  8 Ce 3.01-3.27

=====

No. 10
A plane-wave DFT calculation with GGA-PBEsol was carried out for crystalline AsP2Br at its relaxed geometry.

Values from the calculation:
As for the distance to the lowest polymorph of the same formula: 0 meV per atom. For the uncorrected formation energy, the calculation gives 179 meV per atom.

a b c (Å): 3.5685 4.5725 5.3639
angles (deg): 90.00 109.20 90.00
Closest atoms and distances in Å follow each position.
Sites, in units of the cell vectors:
As 0.0000 0.0000 0.0000  4 P 2.58, 2 Br 2.69
P 0.1932 0.5000 0.8563  2 P 2.23-2.38
P 0.8068 0.5000 0.1437  2 P 2.23-2.38
Br 0.5000 0.0000 0.5000  2 As 2.69

=====

No. 11
A plane-wave DFT calculation with GGA-PBEsol was carried out for crystalline CdTcPt at its relaxed geometry.

Values from the calculation:
As for the distance to the lowest polymorph of the same formula: 0 meV per atom. Its formation energy from the elements is 7.4 kcal/mol of atoms.

a b c (Å): 4.5478 4.5478 2.6707
angles (deg): 90.00 90.00 120.00
Closest atoms and distances in Å follow each position.
Sites, in units of the cell vectors:
Cd 0.0000 0.0000 0.0000  3 Pt 2.63, 2 Cd 2.67, 3 Tc 2.93
Tc 0.6667 0.3333 0.5090  2 Tc 2.67, 6 Cd 2.93-2.96, 6 Pt 2.94-2.95
Pt 0.3333 0.6667 0.0139  3 Cd 2.63, 2 Pt 2.67, 3 Tc 2.94

=====

No. 12
A plane-wave DFT calculation with GGA-PBEsol was carried out for crystalline CrAu3 at its relaxed geometry.

Values from the calculation:
Its formation energy from the elements is 1.9 kcal/mol of atoms.

a b c (Å): 8.4689 8.4689 8.4689
angles (deg): 152.34 152.34 39.52
Closest atoms and distances in Å follow each position.
Sites, in units of the cell vectors:
Cr 0.1264 0.1264 0.0000  12 Au 2.83-2.86
Cr 0.8736 0.8736 0.0000  12 Au 2.83-2.86
Au 0.0000 0.5000 0.5000  8 Au 2.83-2.86, 4 Cr 2.86
Au 0.2500 0.7500 0.5000  4 Cr 2.83, 8 Au 2.85-2.86
Au 0.3759 0.3759 0.0000  8 Au 2.83-2.85, 4 Cr 2.86
Au 0.5000 0.0000 0.5000  8 Au 2.83-2.86, 4 Cr 2.86
Au 0.6241 0.6241 0.0000  8 Au 2.83-2.85, 4 Cr 2.86
Au 0.7500 0.2500 0.5000  4 Cr 2.83, 8 Au 2.85-2.86

=====

No. 13
A plane-wave DFT calculation with GGA-PBEsol was carried out for crystalline Co3Os at its relaxed geometry.

Values from the calculation:
Its formation energy from the elements is 53.0 kcal/mol of atoms.

a b c (Å): 4.4340 4.4340 4.4340
angles (deg): 90.00 90.00 90.00
Closest atoms and distances in Å follow each position.
Sites, in units of the cell vectors:
Co 0.0000 0.0000 0.5000  2 Os 2.22
Co 0.0000 0.5000 0.0000  2 Os 2.22
Co 0.5000 0.0000 0.0000  2 Os 2.22
Os 0.0000 0.0000 0.0000  6 Co 2.22

=====

No. 14
A plane-wave DFT calculation with GGA-PBEsol was carried out for crystalline Y2MnBr at its relaxed geometry.

Values from the calculation:
As for the distance to the lowest polymorph of the same formula: 365 meV per atom. For the uncorrected formation energy, the calculation gives 12 meV per atom.

a b c (Å): 5.2866 5.2866 5.2866
angles (deg): 126.53 126.53 79.01
Closest atoms and distances in Å follow each position.
Sites, in units of the cell vectors:
Y 0.2500 0.7500 0.5000  4 Mn 3.13, 4 Br 3.13, 4 Y 3.36
Y 0.7500 0.2500 0.5000  4 Mn 3.13, 4 Br 3.13, 4 Y 3.36
Mn 0.0000 0.0000 0.0000  8 Y 3.13, 4 Br 3.36
Br 0.5000 0.5000 0.0000  8 Y 3.13, 4 Mn 3.36

=====

No. 15
A plane-wave DFT calculation with GGA-PBEsol was carried out for crystalline K2BaCa at its relaxed geometry.

Values from the calculation:
As for the distance to the lowest polymorph of the same formula: 48 meV per atom. Its formation energy from the elements is 3.1 kcal/mol of atoms.

a b c (Å): 4.2584 6.0012 9.0712
angles (deg): 90.00 90.00 90.00
Closest atoms and distances in Å follow each position.
Sites, in units of the cell vectors:
K 0.0000 0.0000 0.0000  1 Ba 4.24, 6 K 4.26-4.37, 4 Ca 4.35
K 0.5000 0.5000 0.2601  6 K 4.26-4.37, 2 Ca 4.40-4.67, 4 Ba 4.43
Ba 0.0000 0.0000 0.5331  4 Ca 4.15, 5 K 4.24-4.43, 2 Ba 4.26
Ca 0.5000 0.5000 0.7451  4 Ba 4.15, 2 Ca 4.26, 5 K 4.35-4.40

=====

No. 16
A plane-wave DFT calculation with GGA-PBEsol was carried out for crystalline Y3Co6Sn5 at its relaxed geometry.

Values from the calculation:
Its formation energy from the elements is -9.2 kcal/mol of atoms.

a b c (Å): 7.9755 7.9755 7.9755
angles (deg): 149.03 107.25 81.14
Closest atoms and distances in Å follow each position.
Sites, in units of the cell vectors:
Y 0.0000 0.0000 0.0000  4 Co 2.89
Y 0.3169 0.3169 0.0000  6 Co 2.87-3.16, 6 Sn 3.07-3.12
Y 0.6831 0.6831 0.0000  6 Co 2.87-3.16, 6 Sn 3.07-3.12
Co 0.1656 0.8927 0.2729  4 Sn 2.51-2.70, 3 Co 2.52-2.60
Co 0.3070 0.5000 0.8070  4 Co 2.52, 4 Sn 2.55-2.80
Co 0.3802 0.1073 0.2729  4 Sn 2.51-2.70, 3 Co 2.52-2.60
Co 0.6198 0.8927 0.7271  4 Sn 2.51-2.70, 3 Co 2.52-2.60
Co 0.6930 0.5000 0.1930  4 Co 2.52, 4 Sn 2.55-2.80
Co 0.8344 0.1073 0.7271  4 Sn 2.51-2.70, 3 Co 2.52-2.60
Sn 0.0168 0.6763 0.3405  4 Co 2.53-2.70
Sn 0.3358 0.6763 0.6595  4 Co 2.53-2.70
Sn 0.5000 0.0000 0.5000  8 Co 2.51-2.80
Sn 0.6642 0.3237 0.3405  4 Co 2.53-2.70
Sn 0.9832 0.3237 0.6595  4 Co 2.53-2.70

=====

No. 17
A plane-wave DFT calculation with GGA-PBEsol was carried out for crystalline TaTi2CdPb at its relaxed geometry.

Values from the calculation:
Its formation energy from the elements is 22.0 kcal/mol of atoms.

a b c (Å): 4.7463 4.7463 5.3833
angles (deg): 90.00 90.00 90.00
Closest atoms and distances in Å follow each position.
Sites, in units of the cell vectors:
Ta 0.0000 0.0000 0.0000  4 Ti 2.37
Ti 0.0000 0.5000 0.0000  2 Ta 2.37
Ti 0.5000 0.0000 0.0000  2 Ta 2.37
Cd 0.0000 0.0000 0.5000  2 Ta 2.69
Pb 0.5000 0.5000 0.5000  4 Cd 3.36, 8 Ti 3.59

=====

No. 18
A plane-wave DFT calculation with GGA-PBEsol was carried out for crystalline NdSi2Au2 at its relaxed geometry.

Values from the calculation:
For the uncorrected formation energy, the calculation gives -696 meV per atom.

a b c (Å): 5.9097 5.9097 5.9097
angles (deg): 137.67 137.67 61.40
Closest atoms and distances in Å follow each position.
Sites, in units of the cell vectors:
Nd 0.0000 0.0000 0.0000  8 Si 3.23, 8 Au 3.32
Si 0.3855 0.3855 0.0000  1 Si 2.33, 4 Au 2.54
Si 0.6145 0.6145 0.0000  1 Si 2.33, 4 Au 2.54
Au 0.2500 0.7500 0.5000  4 Si 2.54
Au 0.7500 0.2500 0.5000  4 Si 2.54

=====

No. 19
A plane-wave DFT calculation with GGA-PBEsol was carried out for crystalline TaCdFe2 at its relaxed geometry.

Values from the calculation:
Its formation energy from the elements is 4.4 kcal/mol of atoms.

a b c (Å): 4.1704 4.1704 3.1576
angles (deg): 90.00 90.00 90.00
Closest atoms and distances in Å follow each position.
Sites, in units of the cell vectors:
Ta 0.0000 0.0000 0.0000  8 Fe 2.62
Cd 0.5000 0.5000 0.0000  8 Fe 2.62
Fe 0.0000 0.5000 0.5000  4 Cd 2.62, 4 Ta 2.62
Fe 0.5000 0.0000 0.5000  4 Cd 2.62, 4 Ta 2.62

=====

No. 20
A plane-wave DFT calculation with GGA-PBEsol was carried out for crystalline LaBCl3 at its relaxed geometry.

Values from the calculation:
For the uncorrected formation energy, the calculation gives -526 meV per atom.

a b c (Å): 5.4958 5.4958 5.4958
angles (deg): 90.00 90.00 90.00
Closest atoms and distances in Å follow each position.
Sites, in units of the cell vectors:
La 0.0000 0.0000 0.0000  6 Cl 2.75
B 0.5000 0.5000 0.5000  12 Cl 3.89
Cl 0.0000 0.0000 0.5000  2 La 2.75
Cl 0.0000 0.5000 0.0000  2 La 2.75
Cl 0.5000 0.0000 0.0000  2 La 2.75